Density functional theory data (PBE) for a relaxed structure of Ba2ZnCu3F14.

Computed properties:
Formation energy without anion corrections ... -2313 meV/atom
Symmetry ... C2/c

a = 7.4149 Å, b = 7.4149 Å, c = 14.5772 Å
α = 88.97°, β = 88.97°, γ = 41.54°
Closest atoms and distances in Å follow each position.
Element x y z (fractional)
F: 0.6291 0.0343 0.2767  1 Cu 1.94
Ba: 0.2449 0.1371 0.3801  9 F 2.68-2.95
F: 0.4175 0.8098 0.2094  1 Cu 1.97, 1 Zn 2.13
F: 0.2680 0.8840 0.0160  2 Cu 1.95-1.97
F: 0.7320 0.1160 0.9840  2 Cu 1.95-1.97
F: 0.8259 0.4176 0.0446  2 Cu 1.99-2.11
F: 0.9012 0.1179 0.3362  1 Cu 1.90
F: 0.4899 0.6181 0.3785  1 Cu 1.94, 1 Zn 2.12
Cu: 0.5000 0.5000 0.5000  6 F 1.94-2.11
F: 0.8840 0.2680 0.5160  2 Cu 1.95-1.97
Ba: 0.1371 0.2449 0.8801  9 F 2.68-2.95
F: 0.3819 0.5101 0.1215  1 Cu 1.94, 1 Zn 2.12
F: 0.3709 0.9657 0.7233  1 Cu 1.94
F: 0.8098 0.4175 0.7094  1 Cu 1.97, 1 Zn 2.13
F: 0.6181 0.4899 0.8785  1 Cu 1.94, 1 Zn 2.12
F: 0.3156 0.1731 0.0848  1 Cu 1.91
F: 0.5825 0.1902 0.7906  1 Cu 1.97, 1 Zn 2.13
F: 0.1179 0.9012 0.8362  1 Cu 1.90
F: 0.1741 0.5824 0.9554  2 Cu 1.99-2.11
F: 0.8269 0.6844 0.4152  1 Cu 1.91
F: 0.1731 0.3156 0.5848  1 Cu 1.91
Cu: 0.8919 0.8779 0.3732  6 F 1.90-1.99
Ba: 0.7551 0.8629 0.6199  9 F 2.68-2.95
Cu: 0.5000 0.5000 0.0000  6 F 1.94-2.11
F: 0.9657 0.3709 0.2233  1 Cu 1.94
F: 0.4176 0.8259 0.5446  2 Cu 1.99-2.11
F: 0.1160 0.7320 0.4840  2 Cu 1.95-1.97
Cu: 0.1081 0.1221 0.6268  6 F 1.90-1.99
F: 0.5824 0.1741 0.4554  2 Cu 1.99-2.11
Zn: 0.4453 0.5547 0.7500  6 F 2.12-2.18
F: 0.0343 0.6291 0.7767  1 Cu 1.94
F: 0.0988 0.8821 0.6638  1 Cu 1.90
Cu: 0.1221 0.1081 0.1268  6 F 1.90-1.99
F: 0.1902 0.5825 0.2906  1 Cu 1.97, 1 Zn 2.13
Ba: 0.8629 0.7551 0.1199  9 F 2.68-2.95
F: 0.8821 0.0988 0.1638  1 Cu 1.90
Cu: 0.8779 0.8919 0.8732  6 F 1.90-1.99
F: 0.5101 0.3819 0.6215  1 Cu 1.94, 1 Zn 2.12
F: 0.6844 0.8269 0.9152  1 Cu 1.91
Zn: 0.5547 0.4453 0.2500  6 F 2.12-2.18

---

Density functional theory data (PBE) for a relaxed structure of Ba2FeCu.

Computed properties:
Formation energy from the elements ... 0.49 eV/atom
Polymorph energy (0 for the lowest one) ... 154.8 meV per atom
Symmetry ... P4/mmm

a = 3.9054 Å, b = 3.9054 Å, c = 8.0910 Å
α = 90.00°, β = 90.00°, γ = 90.00°
Closest atoms and distances in Å follow each position.
Element x y z (fractional)
Cu: 0.5000 0.5000 0.2500  8 Ba 3.42
Ba: 0.0000 0.0000 0.9999  4 Fe 3.42, 4 Cu 3.42
Ba: 0.0000 0.0000 0.5001  4 Fe 3.42, 4 Cu 3.42
Fe: 0.5000 0.5000 0.7500  8 Ba 3.42

---

Density functional theory data (PBE) for a relaxed structure of BaFeCu3.

Computed properties:
Formation energy from the elements ... 0.41 eV/atom
Polymorph energy (0 for the lowest one) ... 0.0 meV per atom
Symmetry ... Pm-3m

a = 4.7452 Å, b = 4.7452 Å, c = 4.7452 Å
α = 90.00°, β = 90.00°, γ = 90.00°
Closest atoms and distances in Å follow each position.
Element x y z (fractional)
Fe: 0.0000 0.0000 0.0000  6 Cu 2.37
Cu: 0.5000 0.0000 0.0000  2 Fe 2.37
Cu: 0.0000 0.5000 0.0000  2 Fe 2.37
Ba: 0.5000 0.5000 0.5000  12 Cu 3.36
Cu: 0.0000 0.0000 0.5000  2 Fe 2.37

---

Density functional theory data (PBE) for a relaxed structure of BaFe2Cu.

Computed properties:
Formation energy from the elements ... 1.06 eV/atom
Symmetry ... Fm-3m

a = 4.8142 Å, b = 4.8142 Å, c = 4.8142 Å
α = 60.00°, β = 60.00°, γ = 60.00°
Closest atoms and distances in Å follow each position.
Element x y z (fractional)
Cu: 0.0000 0.0000 0.0000  8 Fe 2.95
Fe: 0.7500 0.7500 0.7500  4 Ba 2.95, 4 Cu 2.95
Ba: 0.5000 0.5000 0.5000  8 Fe 2.95
Fe: 0.2500 0.2500 0.2500  4 Ba 2.95, 4 Cu 2.95

---

Density functional theory data (PBE) for a relaxed structure of Ba2Fe2Cu.

Computed properties:
Formation energy from the elements ... 0.70 eV/atom
Polymorph energy (0 for the lowest one) ... 0.0 meV per atom
Symmetry ... I4/mmm

a = 3.3887 Å, b = 3.3887 Å, c = 10.2979 Å
α = 80.53°, β = 80.53°, γ = 90.00°
Closest atoms and distances in Å follow each position.
Element x y z (fractional)
Ba: 0.6134 0.6134 0.7732  4 Fe 3.22, 4 Cu 3.30, 4 Ba 3.39
Fe: 0.7500 0.2500 0.5000  4 Fe 2.40
Ba: 0.3866 0.3866 0.2268  4 Fe 3.22, 4 Cu 3.30, 4 Ba 3.39
Cu: 0.0000 0.0000 0.0000  8 Ba 3.30, 4 Cu 3.39
Fe: 0.2500 0.7500 0.5000  4 Fe 2.40

---

Density functional theory data (PBE) for a relaxed structure of BaFeCu.

Computed properties:
Formation energy from the elements ... 0.42 eV/atom
Polymorph energy (0 for the lowest one) ... 0.0 meV per atom
Symmetry ... P-6m2

a = 4.2332 Å, b = 4.2332 Å, c = 4.8930 Å
α = 90.00°, β = 90.00°, γ = 120.00°
Closest atoms and distances in Å follow each position.
Element x y z (fractional)
Ba: 0.0000 0.0000 0.0000  6 Fe 3.46, 6 Cu 3.46
Cu: 0.6667 0.3333 0.5000  3 Fe 2.44
Fe: 0.3333 0.6667 0.5000  3 Cu 2.44

---

Density functional theory data (PBE) for a relaxed structure of BaFe2Cu.

Computed properties:
Formation energy from the elements ... 0.64 eV/atom
Symmetry ... P4/mmm

a = 3.3013 Å, b = 3.3013 Å, c = 7.1599 Å
α = 90.00°, β = 90.00°, γ = 90.00°
Closest atoms and distances in Å follow each position.
Element x y z (fractional)
Cu: 0.5000 0.5000 0.7500  8 Fe 2.58
Ba: 0.5000 0.5000 0.2500  4 Ba 3.30, 8 Fe 3.40, 2 Cu 3.58
Fe: 0.0000 0.0000 0.5955  1 Fe 2.21
Fe: 0.0000 0.0000 0.9045  1 Fe 2.21

---

Density functional theory data (PBE) for a relaxed structure of Ba2FeCu.

Computed properties:
Formation energy from the elements ... 0.38 eV/atom
Polymorph energy (0 for the lowest one) ... 37.0 meV per atom
Symmetry ... Imm2

a = 8.3380 Å, b = 8.3380 Å, c = 4.4748 Å
α = 74.46°, β = 74.46°, γ = 30.17°
Closest atoms and distances in Å follow each position.
Element x y z (fractional)
Cu: 0.5927 0.5927 0.4073  2 Fe 2.37
Ba: 0.0048 0.0048 0.9950  2 Fe 3.22, 4 Cu 3.40
Fe: 0.1548 0.1548 0.3452  2 Cu 2.37
Ba: 0.7477 0.7477 0.7525  2 Cu 3.28, 4 Fe 3.43

---

Density functional theory data (PBE) for a relaxed structure of BaFeCu.

Computed properties:
Formation energy from the elements ... 0.82 eV/atom
Polymorph energy (0 for the lowest one) ... 398.3 meV per atom
Symmetry ... F-43m

a = 4.9170 Å, b = 4.9170 Å, c = 4.9170 Å
α = 60.00°, β = 60.00°, γ = 60.00°
Closest atoms and distances in Å follow each position.
Element x y z (fractional)
Cu: 0.2500 0.2500 0.2500  4 Ba 3.01, 4 Fe 3.01
Ba: 0.5000 0.5000 0.5000  4 Cu 3.01
Fe: 0.0000 0.0000 0.0000  4 Cu 3.01

---

Density functional theory data (PBE) for a relaxed structure of BaFeCu.

Computed properties:
Formation energy from the elements ... 1.27 eV/atom
Polymorph energy (0 for the lowest one) ... 843.0 meV per atom
Symmetry ... F-43m

a = 5.2139 Å, b = 5.2139 Å, c = 5.2139 Å
α = 60.00°, β = 60.00°, γ = 60.00°
Closest atoms and distances in Å follow each position.
Element x y z (fractional)
Fe: 0.5000 0.5000 0.5000  4 Ba 3.19
Ba: 0.2500 0.2500 0.2500  4 Fe 3.19, 4 Cu 3.19
Cu: 0.0000 0.0000 0.0000  4 Ba 3.19

---

Density functional theory data (PBE) for a relaxed structure of Ba2FeCu.

Computed properties:
Formation energy from the elements ... 0.71 eV/atom
Polymorph energy (0 for the lowest one) ... 368.4 meV per atom
Symmetry ... F-43m

a = 5.3815 Å, b = 5.3815 Å, c = 5.3815 Å
α = 60.00°, β = 60.00°, γ = 60.00°
Closest atoms and distances in Å follow each position.
Element x y z (fractional)
Ba: 0.0000 0.0000 0.0000  4 Ba 3.30, 4 Fe 3.30
Fe: 0.7500 0.7500 0.7500  4 Cu 3.30, 4 Ba 3.30
Cu: 0.5000 0.5000 0.5000  4 Ba 3.30, 4 Fe 3.30
Ba: 0.2500 0.2500 0.2500  4 Ba 3.30, 4 Cu 3.30

---

Density functional theory data (PBE) for a relaxed structure of BaFe2Cu.

Computed properties:
Formation energy from the elements ... 0.99 eV/atom
Symmetry ... C2/m

a = 5.7304 Å, b = 5.7304 Å, c = 3.1939 Å
α = 74.52°, β = 74.52°, γ = 120.55°
Closest atoms and distances in Å follow each position.
Element x y z (fractional)
Ba: 0.5000 0.0000 0.5000  4 Cu 2.84-2.92, 4 Fe 2.88
Fe: 0.0000 0.0000 0.0000  4 Fe 2.84-2.92, 2 Cu 2.88, 2 Ba 2.88
Fe: 0.5000 0.5000 0.0000  4 Fe 2.84-2.92, 2 Ba 2.88, 2 Cu 2.88
Cu: 0.0000 0.5000 0.5000  4 Ba 2.84-2.92, 4 Fe 2.88

---

Density functional theory data (PBE) for a relaxed structure of BaFe2Cu.

Computed properties:
Formation energy from the elements ... 0.51 eV/atom
Symmetry ... P4mm

a = 3.2152 Å, b = 3.2177 Å, c = 7.4193 Å
α = 90.00°, β = 90.00°, γ = 90.00°
Closest atoms and distances in Å follow each position.
Element x y z (fractional)
Cu: 0.5000 0.5000 0.8290  5 Fe 2.43-2.66
Fe: 0.5000 0.5000 0.1567  1 Cu 2.43, 4 Fe 2.51
Ba: 0.0000 0.0000 0.5005  4 Ba 3.22, 4 Cu 3.33, 4 Fe 3.42
Fe: 0.0000 0.0000 0.0138  4 Fe 2.51, 4 Cu 2.66

---

Density functional theory data (PBE) for a relaxed structure of BaFeCu.

Computed properties:
Formation energy from the elements ... 0.54 eV/atom
Polymorph energy (0 for the lowest one) ... 118.8 meV per atom
Symmetry ... Imm2

a = 6.1817 Å, b = 6.1817 Å, c = 6.1817 Å
α = 147.13°, β = 147.23°, γ = 47.10°
Closest atoms and distances in Å follow each position.
Element x y z (fractional)
Cu: 0.2753 0.2753 0.0000  4 Fe 2.53
Fe: 0.7270 0.7270 0.0000  4 Cu 2.53
Ba: 0.9978 0.9978 0.0000  1 Fe 3.07, 1 Cu 3.14